1.
{"formula": "PmMo2Se4I2", "functional": "PBE", "state": "relaxed", "cell": [[3.557, 0.000, 0.000], [-1.778, 3.080, 0.000], [0.000, 0.000, 23.077]], "species": ["Pm", "Mo", "Mo", "Se", "Se", "Se", "Se", "I", "I"], "fractional_positions": [[0.000, 0.000, 0.327], [0.000, 0.000, 0.966], [0.667, 0.333, 0.666], [0.000, 0.000, 0.597], [0.667, 0.333, 0.036], [0.667, 0.333, 0.897], [0.000, 0.000, 0.735], [0.667, 0.333, 0.427], [0.667, 0.333, 0.227]], "m_tot_mub_per_fu": 0.557}

***

2.
{"formula": "Mo2Pt4I", "functional": "PBE", "state": "relaxed", "cell": [[5.080, 0.000, 0.000], [0.000, 5.080, 0.000], [2.540, 2.540, 6.251]], "species": ["I", "Mo", "Mo", "Pt", "Pt", "Pt", "Pt"], "fractional_positions": [[0.000, 0.000, 0.000], [0.593, 0.593, 0.814], [0.407, 0.407, 0.186], [0.786, 0.786, 0.428], [0.214, 0.214, 0.572], [0.000, 0.500, 0.000], [0.500, 0.000, 0.000]], "m_tot_mub_per_fu": 0.787}

***

3.
{"formula": "MoPtI2", "functional": "PBE", "state": "relaxed", "cell": [[0.000, 3.496, 3.496], [3.496, 0.000, 3.496], [3.496, 3.496, 0.000]], "species": ["I", "I", "Mo", "Pt"], "fractional_positions": [[0.250, 0.250, 0.250], [0.750, 0.750, 0.750], [0.000, 0.000, 0.000], [0.500, 0.500, 0.500]], "m_tot_mub_per_fu": 1.833, "e_above_lowest_polymorph_ev_per_atom": 0.115}

***

4.
{"formula": "MoPtI2", "functional": "PBE", "state": "relaxed", "cell": [[-3.030, 0.019, -5.237], [-4.760, -2.534, 2.744], [-6.163, 4.445, 0.086]], "species": ["I", "I", "I", "I", "Mo", "Mo", "Pt", "Pt"], "fractional_positions": [[0.620, 0.125, 0.250], [0.130, 0.625, 0.250], [0.375, 0.380, 0.750], [0.875, 0.870, 0.750], [0.500, 0.500, 0.000], [0.250, 0.750, 0.500], [0.000, 0.000, 0.000], [0.750, 0.250, 0.500]], "m_tot_mub_per_fu": 0.000, "e_above_lowest_polymorph_ev_per_atom": 0.000}

***

5.
{"formula": "ReMoPtI2", "functional": "PBE", "state": "relaxed", "cell": [[5.260, 0.000, 0.000], [0.000, 4.900, 0.000], [0.000, 0.000, 5.260]], "species": ["I", "I", "Re", "Mo", "Pt"], "fractional_positions": [[0.000, 0.000, 0.500], [0.500, 0.000, 0.000], [0.000, 0.000, 0.000], [0.000, 0.500, 0.000], [0.500, 0.500, 0.500]], "m_tot_mub_per_fu": 2.033}

***

6.
{"formula": "SbMoPtI2", "functional": "PBE", "state": "relaxed", "cell": [[-4.719, 0.256, 2.243], [0.724, -4.927, 2.084], [2.146, 2.122, 4.273]], "species": ["I", "I", "Sb", "Mo", "Pt"], "fractional_positions": [[0.000, 0.000, 0.500], [0.500, 0.000, 0.000], [0.000, 0.500, 0.000], [0.000, 0.000, 0.000], [0.500, 0.500, 0.500]], "m_tot_mub_per_fu": 0.000, "e_above_lowest_polymorph_ev_per_atom": 0.054}

***

7.
{"formula": "SbMoPtI2", "functional": "PBE", "state": "relaxed", "cell": [[5.573, 0.000, 0.000], [0.000, 5.573, 0.000], [0.000, 0.000, 5.177]], "species": ["I", "I", "Sb", "Mo", "Pt"], "fractional_positions": [[0.000, 0.500, 0.000], [0.500, 0.000, 0.000], [0.000, 0.000, 0.500], [0.500, 0.500, 0.500], [0.000, 0.000, 0.000]], "m_tot_mub_per_fu": 4.300, "e_above_lowest_polymorph_ev_per_atom": 0.000}

***

8.
{"formula": "Sb2MoPtI", "functional": "PBE", "state": "relaxed", "cell": [[5.226, 0.000, 0.000], [0.000, 5.226, 0.000], [0.000, 0.000, 5.512]], "species": ["I", "Sb", "Sb", "Mo", "Pt"], "fractional_positions": [[0.000, 0.000, 0.500], [0.000, 0.500, 0.000], [0.500, 0.000, 0.000], [0.500, 0.500, 0.500], [0.000, 0.000, 0.000]], "m_tot_mub_per_fu": 3.379, "e_above_lowest_polymorph_ev_per_atom": 0.086}

***

| no. | E_form (uncorrected) (kJ per mole of atoms) |
| --- | --- |
| 1 | -64 |
| 2 | 113 |
| 3 | 93 |
| 4 | 82 |
| 5 | 169 |
| 6 | 103 |
| 7 | 98 |
| 8 | 101 |